# 1
Entry from Alexandria via LeMat-Bulk: a relaxed structure of KReMo2 (GGA-PBE).

ΔE_f   1.27 eV/atom
DOS(E_F)   2.7 states/eV/f.u.
ΔE to the lowest computed polymorph   536 meV/atom
Space group   Immm
Uncorrected energy   -7.5310 eV per atom

Geometry as extended XYZ:
```
4
Lattice="-2.964 5.581 -1.021 -4.546 0.707 -4.451 2.632 -2.143 5.427" Properties=species:S:1:pos:R:3 pbc="T T T"
K -2.043 3.291 0.835
Mo -0.296 0.248 -0.216
Mo -3.459 2.896 -2.520
Re -2.834 0.854 -0.880
```

***

# 2
Entry from Alexandria via LeMat-Bulk: a relaxed structure of KRe2Mo (GGA-PBE).

ΔE_f   0.85 eV/atom
DOS(E_F)   2.8 states/eV/f.u.
ΔE to the lowest computed polymorph   106 meV/atom
Space group   Pmm2
Uncorrected energy   -8.3579 eV per atom

Geometry as extended XYZ:
```
4
Lattice="2.793 0.000 0.000 0.000 3.991 0.000 0.000 0.000 8.081" Properties=species:S:1:pos:R:3 pbc="T T T"
Re 0.000 0.000 0.100
Re 1.396 1.995 1.191
K 0.000 0.000 3.972
Mo 1.396 1.995 6.859
```

***

# 3
Entry from Alexandria via LeMat-Bulk: a relaxed structure of KRe2Mo (GGA-PBE).

ΔE_f   0.80 eV/atom
DOS(E_F)   3.5 states/eV/f.u.
ΔE to the lowest computed polymorph   62 meV/atom
Space group   R-3m
Uncorrected energy   -8.4015 eV per atom

Geometry as extended XYZ:
```
4
Lattice="-2.346 10.145 -2.010 -3.883 9.862 0.350 -1.137 10.531 0.521" Properties=species:S:1:pos:R:3 pbc="T T T"
Re -7.265 30.124 -1.124
Re -3.783 15.684 -0.585
Mo -1.841 7.635 -0.285
K -5.524 22.904 -0.855
```

***

# 4
Entry from Alexandria via LeMat-Bulk: a relaxed structure of KReMo2 (GGA-PBE).

ΔE_f   1.59 eV/atom
DOS(E_F)   3.5 states/eV/f.u.
ΔE to the lowest computed polymorph   855 meV/atom
Space group   P4/mmm
Uncorrected energy   -7.2125 eV per atom

Geometry as extended XYZ:
```
4
Lattice="-1.495 -2.277 -0.748 1.831 0.311 -4.602 3.792 -2.921 1.311" Properties=species:S:1:pos:R:3 pbc="T T T"
Re 0.168 -0.983 -2.675
K 1.149 -2.599 0.281
Mo 2.811 -1.305 -1.646
Mo 0.000 0.000 0.000
```